VASP calculation (PBE) on crystalline BaSrO2 at its relaxed geometry.

a b c (Å): 4.6200 4.6200 4.6200
angles (deg): 60.00 60.00 60.00
Positions (direct):
Sr  0.0000  0.0000  0.0000
Ba  0.5000  0.5000  0.5000
O  0.2500  0.2500  0.2500
O  0.7500  0.7500  0.7500

Calculated values
Excess energy over the best structure of this formula in the dataset: 385.6 meV per atom
Calculated density: 6.1 g cm⁻³
Uncorrected formation energy: -2.190 eV per atom
Calculated volume: 17.4 A^3/atom


VASP calculation (PBE) on crystalline GeSbF5 at its relaxed geometry.

a b c (Å): 6.7371 6.9467 7.3786
angles (deg): 107.37 106.40 114.12
Positions (direct):
Ge  0.5361  0.3259  0.7826
Ge  0.4612  0.7512  0.2711
Sb  0.0372  0.0468  0.0286
Sb  0.9970  0.4993  0.5290
F  0.8472  0.1876  0.2745
F  0.0883  0.9243  0.7772
F  0.7717  0.5481  0.3458
F  0.2530  0.8018  0.0947
F  0.2713  0.4080  0.0521
F  0.2356  0.6605  0.4033
F  0.7475  0.6868  0.9230
F  0.6760  0.2985  0.5781
F  0.7728  0.0497  0.8388
F  0.2922  0.3292  0.5921

Calculated values
Excess energy over the best structure of this formula in the dataset: 0.0 meV per atom
Calculated density: 3.6 g cm⁻³
Uncorrected formation energy: -2.243 eV per atom
Calculated volume: 19.0 A^3/atom


VASP calculation (PBE) on crystalline CsZnSiP2 at its relaxed geometry.

a b c (Å): 5.9719 7.6902 6.4419
angles (deg): 90.00 90.00 112.85
Positions (direct):
Cs  0.7500  0.5000  0.7421
Cs  0.2500  0.5000  0.2579
Zn  0.0000  0.0000  0.5000
Zn  0.5000  0.0000  0.5000
Si  0.7500  0.0000  0.0000
Si  0.2500  0.0000  0.0000
P  0.9142  0.8285  0.1990
P  0.5858  0.1715  0.1990
P  0.4142  0.8285  0.8010
P  0.0858  0.1715  0.8010

Calculated values
Calculated density: 3.5 g cm⁻³
Uncorrected formation energy: -0.245 eV per atom
Calculated volume: 27.3 A^3/atom